Run i
# NaZnPO

An optimized crystal structure of NaZnPO (PBE, the Open Quantum Materials Database).

Crystal system = tetragonal

abc: 3.932 3.932 9.336
angles: 90.00 90.00 90.00
Element x y z (fractional)
Na 0.250 0.750 0.000
Na 0.750 0.250 0.000
Zn 0.250 0.250 0.450
Zn 0.750 0.750 0.550
P 0.250 0.250 0.778
P 0.750 0.750 0.222
O 0.250 0.750 0.500
O 0.750 0.250 0.500

---

Run ii
# NaZnPO

An optimized crystal structure of NaZnPO (PBE, the Open Quantum Materials Database).

Crystal system = tetragonal

abc: 3.854 3.854 8.794
angles: 90.00 90.00 90.00
Element x y z (fractional)
Na 0.250 0.250 0.134
Na 0.750 0.750 0.866
Zn 0.250 0.750 0.500
Zn 0.750 0.250 0.500
P 0.250 0.250 0.669
P 0.750 0.750 0.331
O 0.250 0.750 0.000
O 0.750 0.250 0.000

---

What should be chosen as the most stable of them? Choose run ii.

---

Run i
# NaZr2P3O12

An optimized crystal structure of NaZr2P3O12 (PBE, the Open Quantum Materials Database).

Crystal system = monoclinic

abc: 8.790 9.126 14.886
angles: 90.00 124.25 90.00
Element x y z (fractional)
Na 0.041 0.184 0.374
Na 0.041 0.316 0.874
Na 0.959 0.684 0.126
Na 0.959 0.816 0.626
Zr 0.144 0.538 0.386
Zr 0.144 0.962 0.886
Zr 0.370 0.534 0.119
Zr 0.370 0.966 0.619
Zr 0.630 0.034 0.381
Zr 0.630 0.466 0.881
Zr 0.856 0.038 0.114
Zr 0.856 0.462 0.614
P 0.044 0.124 0.645
P 0.044 0.376 0.145
P 0.250 0.620 0.649
P 0.250 0.880 0.149
P 0.463 0.249 0.494
P 0.463 0.251 0.994
P 0.537 0.749 0.006
P 0.537 0.751 0.506
P 0.750 0.120 0.851
P 0.750 0.380 0.351
P 0.956 0.624 0.855
P 0.956 0.876 0.355
O 0.022 0.225 0.184
O 0.022 0.275 0.684
O 0.095 0.584 0.665
O 0.095 0.916 0.165
O 0.099 0.010 0.736
O 0.099 0.490 0.236
O 0.140 0.570 0.956
O 0.140 0.930 0.456
O 0.184 0.584 0.532
O 0.184 0.916 0.032
O 0.192 0.126 0.620
O 0.192 0.374 0.120
O 0.281 0.713 0.169
O 0.281 0.787 0.669
O 0.282 0.164 0.941
O 0.282 0.336 0.441
O 0.376 0.650 0.427
O 0.376 0.850 0.927
O 0.423 0.530 0.726
O 0.423 0.970 0.226
O 0.454 0.121 0.557
O 0.454 0.379 0.057
O 0.483 0.192 0.404
O 0.483 0.308 0.904
O 0.517 0.692 0.096
O 0.517 0.808 0.596
O 0.546 0.621 0.943
O 0.546 0.879 0.443
O 0.577 0.030 0.774
O 0.577 0.470 0.274
O 0.624 0.150 0.073
O 0.624 0.350 0.573
O 0.718 0.664 0.559
O 0.718 0.836 0.059
O 0.719 0.213 0.331
O 0.719 0.287 0.831
O 0.808 0.626 0.880
O 0.808 0.874 0.380
O 0.816 0.084 0.968
O 0.816 0.416 0.468
O 0.860 0.070 0.544
O 0.860 0.430 0.044
O 0.901 0.510 0.764
O 0.901 0.990 0.264
O 0.905 0.084 0.835
O 0.905 0.416 0.335
O 0.978 0.725 0.316
O 0.978 0.775 0.816

---

Run ii
# NaZr2P3O12

An optimized crystal structure of NaZr2P3O12 (PBE, the Open Quantum Materials Database).

Crystal system = trigonal

abc: 9.030 9.030 9.030
angles: 58.88 58.88 58.88
Element x y z (fractional)
Na 0.000 0.000 0.000
Na 0.500 0.500 0.500
Zr 0.143 0.143 0.143
Zr 0.357 0.357 0.357
Zr 0.643 0.643 0.643
Zr 0.857 0.857 0.857
P 0.043 0.750 0.457
P 0.250 0.543 0.957
P 0.457 0.043 0.750
P 0.543 0.957 0.250
P 0.750 0.457 0.043
P 0.957 0.250 0.543
O 0.002 0.803 0.614
O 0.060 0.912 0.274
O 0.088 0.726 0.940
O 0.114 0.303 0.502
O 0.197 0.386 0.998
O 0.226 0.588 0.440
O 0.274 0.060 0.912
O 0.303 0.502 0.114
O 0.386 0.998 0.197
O 0.412 0.560 0.774
O 0.440 0.226 0.588
O 0.498 0.886 0.697
O 0.502 0.114 0.303
O 0.560 0.774 0.412
O 0.588 0.440 0.226
O 0.614 0.002 0.803
O 0.697 0.498 0.886
O 0.726 0.940 0.088
O 0.774 0.412 0.560
O 0.803 0.614 0.002
O 0.886 0.697 0.498
O 0.912 0.274 0.060
O 0.940 0.088 0.726
O 0.998 0.197 0.386

---

What should be chosen as the most stable of them? Choose run ii.

---

Run i
# Na2Pa2O5

An optimized crystal structure of Na2Pa2O5 (PBE, the Open Quantum Materials Database).

Crystal system = tetragonal

abc: 4.293 4.293 8.510
angles: 90.00 90.00 90.00
Element x y z (fractional)
Na 0.000 0.000 0.000
Na 0.000 0.000 0.500
Pa 0.500 0.500 0.242
Pa 0.500 0.500 0.758
O 0.000 0.500 0.184
O 0.000 0.500 0.816
O 0.500 0.000 0.184
O 0.500 0.000 0.816
O 0.500 0.500 0.500

---

Run ii
# Na2Pa2O5

An optimized crystal structure of Na2Pa2O5 (PBE, the Open Quantum Materials Database).

Crystal system = tetragonal

abc: 4.026 4.026 6.941
angles: 90.00 90.00 90.00
Element x y z (fractional)
Na 0.000 0.000 0.209
Na 0.000 0.000 0.791
Pa 0.500 0.500 0.000
Pa 0.500 0.500 0.500
O 0.000 0.000 0.500
O 0.000 0.500 0.201
O 0.000 0.500 0.799
O 0.500 0.000 0.201
O 0.500 0.000 0.799

---

What should be chosen as the most stable of them? Choose run i.

---

Run i
# NaPmTeO

An optimized crystal structure of NaPmTeO (PBE, the Open Quantum Materials Database).

Crystal system = monoclinic

abc: 7.581 7.758 6.746
angles: 90.00 100.44 90.00
Element x y z (fractional)
Na 0.114 0.211 0.475
Na 0.114 0.289 0.975
Na 0.886 0.711 0.025
Na 0.886 0.789 0.525
Pm 0.461 0.624 0.778
Pm 0.461 0.876 0.278
Pm 0.539 0.124 0.722
Pm 0.539 0.376 0.222
Te 0.195 0.573 0.339
Te 0.195 0.927 0.839
Te 0.805 0.073 0.161
Te 0.805 0.427 0.661
O 0.413 0.154 0.393
O 0.413 0.346 0.893
O 0.587 0.654 0.107
O 0.587 0.846 0.607

---

Run ii
# NaPmTeO

An optimized crystal structure of NaPmTeO (PBE, the Open Quantum Materials Database).

Crystal system = orthorhombic

abc: 4.607 7.717 6.772
angles: 90.00 90.00 90.00
Element x y z (fractional)
Na 0.000 0.225 0.000
Na 0.000 0.775 0.500
Pm 0.500 0.384 0.382
Pm 0.500 0.616 0.882
Te 0.000 0.177 0.546
Te 0.000 0.823 0.046
O 0.500 0.380 0.059
O 0.500 0.620 0.559

---

What should be chosen as the most stable of them? Choose run i.

---

Run i
# Na2Pr2O5

An optimized crystal structure of Na2Pr2O5 (PBE, the Open Quantum Materials Database).

Crystal system = tetragonal

abc: 4.385 4.385 8.289
angles: 90.00 90.00 90.00
Element x y z (fractional)
Na 0.000 0.000 0.000
Na 0.000 0.000 0.500
Pr 0.500 0.500 0.228
Pr 0.500 0.500 0.772
O 0.000 0.500 0.145
O 0.000 0.500 0.855
O 0.500 0.000 0.145
O 0.500 0.000 0.855
O 0.500 0.500 0.500

---

Run ii
# Na2Pr2O5

An optimized crystal structure of Na2Pr2O5 (PBE, the Open Quantum Materials Database).

Crystal system = tetragonal

abc: 4.125 4.125 6.921
angles: 90.00 90.00 90.00
Element x y z (fractional)
Na 0.000 0.000 0.202
Na 0.000 0.000 0.798
Pr 0.500 0.500 0.000
Pr 0.500 0.500 0.500
O 0.000 0.000 0.500
O 0.000 0.500 0.219
O 0.000 0.500 0.781
O 0.500 0.000 0.219
O 0.500 0.000 0.781

---

What should be chosen as the most stable of them? Choose run i.

---

Run i
# Na2Pt2O5

An optimized crystal structure of Na2Pt2O5 (PBE, the Open Quantum Materials Database).

Crystal system = triclinic

abc: 5.037 5.050 5.852
angles: 65.34 67.19 66.82
Element x y z (fractional)
Na 0.000 0.000 0.000
Na 0.305 0.274 0.160
Pt 0.494 0.467 0.577
Pt 0.824 0.797 0.598
O 0.108 0.643 0.816
O 0.186 0.579 0.384
O 0.490 0.047 0.818
O 0.589 0.858 0.367
O 0.846 0.229 0.369

---

Run ii
# Na2Pt2O5

An optimized crystal structure of Na2Pt2O5 (PBE, the Open Quantum Materials Database).

Crystal system = tetragonal

abc: 3.847 3.847 7.922
angles: 90.00 90.00 90.00
Element x y z (fractional)
Na 0.000 0.000 0.000
Na 0.000 0.000 0.500
Pt 0.500 0.500 0.236
Pt 0.500 0.500 0.764
O 0.000 0.500 0.191
O 0.000 0.500 0.809
O 0.500 0.000 0.191
O 0.500 0.000 0.809
O 0.500 0.500 0.500

---

Run iii
# Na2Pt2O5

An optimized crystal structure of Na2Pt2O5 (PBE, the Open Quantum Materials Database).

Crystal system = tetragonal

abc: 3.971 3.971 8.225
angles: 90.00 90.00 90.00
Element x y z (fractional)
Na 0.000 0.000 0.243
Na 0.000 0.000 0.757
Pt 0.500 0.500 0.000
Pt 0.500 0.500 0.500
O 0.000 0.000 0.500
O 0.000 0.500 0.092
O 0.000 0.500 0.908
O 0.500 0.000 0.092
O 0.500 0.000 0.908

---

What should be chosen as the most stable of them? Choose run i.

---

Run i
# NaSmSeO

An optimized crystal structure of NaSmSeO (PBE, the Open Quantum Materials Database).

Crystal system = tetragonal

abc: 4.070 4.070 9.608
angles: 90.00 90.00 90.00
Element x y z (fractional)
Na 0.250 0.750 0.000
Na 0.750 0.250 0.000
Sm 0.250 0.250 0.384
Sm 0.750 0.750 0.616
Se 0.250 0.250 0.796
Se 0.750 0.750 0.204
O 0.250 0.750 0.500
O 0.750 0.250 0.500

---

Run ii
# NaSmSeO

An optimized crystal structure of NaSmSeO (PBE, the Open Quantum Materials Database).

Crystal system = orthorhombic

abc: 4.489 7.521 6.340
angles: 90.00 90.00 90.00
Element x y z (fractional)
Na 0.000 0.209 0.000
Na 0.000 0.791 0.500
Sm 0.500 0.364 0.414
Sm 0.500 0.636 0.914
Se 0.000 0.174 0.544
Se 0.000 0.826 0.044
O 0.500 0.380 0.071
O 0.500 0.620 0.571

---

Run iii
# NaSmSeO

An optimized crystal structure of NaSmSeO (PBE, the Open Quantum Materials Database).

Crystal system = monoclinic

abc: 5.745 5.740 10.868
angles: 90.00 103.50 90.00
Element x y z (fractional)
Na 0.043 0.000 0.095
Na 0.457 0.001 0.904
Na 0.543 0.501 0.096
Na 0.957 0.500 0.905
Sm 0.049 0.281 0.606
Sm 0.451 0.280 0.394
Sm 0.549 0.780 0.606
Sm 0.951 0.781 0.394
Se 0.078 0.499 0.183
Se 0.422 0.499 0.817
Se 0.578 0.999 0.183
Se 0.922 0.999 0.817
O 0.250 0.032 0.500
O 0.250 0.534 0.500
O 0.750 0.034 0.500
O 0.750 0.532 0.500

---

Run iv
# NaSmSeO

An optimized crystal structure of NaSmSeO (PBE, the Open Quantum Materials Database).

Crystal system = monoclinic

abc: 6.886 7.569 6.572
angles: 90.00 101.38 90.00
Element x y z (fractional)
Na 0.096 0.233 0.489
Na 0.096 0.267 0.989
Na 0.904 0.733 0.011
Na 0.904 0.767 0.511
Sm 0.451 0.622 0.769
Sm 0.451 0.878 0.269
Sm 0.549 0.122 0.731
Sm 0.549 0.378 0.231
Se 0.199 0.575 0.333
Se 0.199 0.925 0.833
Se 0.801 0.075 0.167
Se 0.801 0.425 0.667
O 0.399 0.157 0.393
O 0.399 0.343 0.893
O 0.601 0.657 0.107
O 0.601 0.843 0.607

---

What should be chosen as the most stable of them? Choose run iii.